# 1
The following is a GGA-PBE calculation of crystalline PrPaTl at its relaxed geometry, from OQMD.

Lattice parameters (Å, degrees): 5.2464 5.2464 5.2464 60.00 60.00 60.00
With the nearest neighbours (Å) after each atom.
Fractional positions:
Pa 0.2500 0.2500 0.2500  4 Tl 3.21
Pr 0.7500 0.7500 0.7500  4 Tl 3.21
Tl 0.0000 0.0000 0.0000  4 Pr 3.21, 4 Pa 3.21

## Properties
raw total energy: -5.02 eV per atom
energy relative to the lowest polymorph listed for this composition: 0.00 eV per formula unit


# 2
The following is a GGA-PBE calculation of crystalline Sm2Y2CIBr2Cl2 at its relaxed geometry, from OQMD.

Lattice parameters (Å, degrees): 8.8872 8.8872 8.7136 104.09 104.09 25.35
With the nearest neighbours (Å) after each atom.
Fractional positions:
Br 0.1745 0.1745 0.3208  2 Y 2.86, 1 Sm 2.96
Br 0.8255 0.8255 0.6792  2 Y 2.86, 1 Sm 2.96
C 0.5000 0.5000 0.0000  2 Y 2.40, 4 Sm 2.58
Cl 0.8278 0.8278 0.1326  2 Y 2.78, 1 Sm 2.88
Cl 0.1722 0.1722 0.8674  2 Y 2.78, 1 Sm 2.88
I 0.5000 0.5000 0.5000  4 Sm 3.30
Sm 0.9992 0.9992 0.1942  2 C 2.58, 1 Cl 2.88
Sm 0.0008 0.0008 0.8058  2 C 2.58, 1 Cl 2.88
Y 0.6429 0.6429 0.0724  1 C 2.40
Y 0.3571 0.3571 0.9276  1 C 2.40

## Properties
raw total energy: -5.50 eV per atom
energy relative to the lowest polymorph listed for this composition: 0.00 eV per formula unit


# 3
The following is a GGA-PBE calculation of crystalline BeAg2Sn at its relaxed geometry, from OQMD.

Lattice parameters (Å, degrees): 4.6311 4.6311 4.6311 60.00 60.00 60.00
With the nearest neighbours (Å) after each atom.
Fractional positions:
Ag 0.0000 0.0000 0.0000  4 Ag 2.84, 4 Be 2.84
Ag 0.7500 0.7500 0.7500  4 Sn 2.84, 4 Ag 2.84
Be 0.2500 0.2500 0.2500  4 Sn 2.84, 4 Ag 2.84
Sn 0.5000 0.5000 0.5000  4 Ag 2.84, 4 Be 2.84

## Properties
raw total energy: -3.00 eV per atom


# 4
The following is a GGA-PBE calculation of crystalline Gd2Ho2CI5 at its relaxed geometry, from OQMD.

Lattice parameters (Å, degrees): 10.5586 10.5586 8.5719 101.60 101.60 21.67
With the nearest neighbours (Å) after each atom.
Fractional positions:
C 0.5000 0.5000 0.0000  2 Gd 2.41, 4 Ho 2.56
Gd 0.6187 0.6187 0.0592  1 C 2.41
Gd 0.3813 0.3813 0.9408  1 C 2.41
Ho 0.9999 0.9999 0.1890  2 C 2.56
Ho 0.0001 0.0001 0.8110  2 C 2.56
I 0.8476 0.8476 0.1874  2 Gd 3.08, 1 Ho 3.16
I 0.1510 0.1510 0.3379  2 Gd 3.07, 1 Ho 3.13
I 0.5000 0.5000 0.5000  4 Ho 3.32
I 0.8490 0.8490 0.6621  2 Gd 3.07, 1 Ho 3.13
I 0.1524 0.1524 0.8126  2 Gd 3.08, 1 Ho 3.16

## Properties
raw total energy: -4.64 eV per atom
energy relative to the lowest polymorph listed for this composition: 0.08 eV per formula unit


# 5
The following is a GGA-PBE calculation of crystalline LiHfPd2 at its relaxed geometry, from OQMD.

Lattice parameters (Å, degrees): 5.9781 6.7447 6.4477 90.00 90.00 90.00
With the nearest neighbours (Å) after each atom.
Fractional positions:
Hf 0.2500 0.2500 0.0000  8 Pd 2.77, 2 Li 2.99
Hf 0.7500 0.7500 0.0000  8 Pd 2.77, 2 Li 2.99
Hf 0.2500 0.2500 0.5000  8 Pd 2.77, 2 Li 2.99
Hf 0.7500 0.7500 0.5000  8 Pd 2.77, 2 Li 2.99
Li 0.7500 0.2500 0.0000  8 Pd 2.77, 2 Hf 2.99
Li 0.2500 0.7500 0.0000  8 Pd 2.77, 2 Hf 2.99
Li 0.7500 0.2500 0.5000  8 Pd 2.77, 2 Hf 2.99
Li 0.2500 0.7500 0.5000  8 Pd 2.77, 2 Hf 2.99
Pd 0.5000 0.0000 0.2500  4 Hf 2.77, 4 Li 2.77, 2 Pd 2.99
Pd 0.5000 0.5000 0.2500  4 Li 2.77, 4 Hf 2.77, 2 Pd 2.99
Pd 0.0000 0.0000 0.2500  4 Hf 2.77, 4 Li 2.77, 2 Pd 2.99
Pd 0.0000 0.5000 0.2500  4 Hf 2.77, 4 Li 2.77, 2 Pd 2.99
Pd 0.0000 0.0000 0.7500  4 Hf 2.77, 4 Li 2.77, 2 Pd 2.99
Pd 0.0000 0.5000 0.7500  4 Hf 2.77, 4 Li 2.77, 2 Pd 2.99
Pd 0.5000 0.0000 0.7500  4 Li 2.77, 4 Hf 2.77, 2 Pd 2.99
Pd 0.5000 0.5000 0.7500  4 Hf 2.77, 4 Li 2.77, 2 Pd 2.99

## Properties
raw total energy: -6.14 eV per atom
energy relative to the lowest polymorph listed for this composition: 0.29 eV per formula unit


# 6
The following is a GGA-PBE calculation of crystalline LuMgTlCu at its relaxed geometry, from OQMD.

Lattice parameters (Å, degrees): 4.9006 4.9006 4.9006 60.00 60.00 60.00
With the nearest neighbours (Å) after each atom.
Fractional positions:
Cu 0.7500 0.7500 0.7500  4 Mg 3.00, 4 Tl 3.00
Lu 0.2500 0.2500 0.2500  4 Mg 3.00, 4 Tl 3.00
Mg 0.5000 0.5000 0.5000  4 Cu 3.00, 4 Lu 3.00
Tl 0.0000 0.0000 0.0000  4 Cu 3.00, 4 Lu 3.00

## Properties
raw total energy: -3.01 eV per atom
energy relative to the lowest polymorph listed for this composition: 0.15 eV per formula unit


# 7
The following is a GGA-PBE calculation of crystalline Hf2PIBr at its relaxed geometry, from OQMD.

Lattice parameters (Å, degrees): 3.8471 3.8471 10.0449 90.00 90.00 120.00
With the nearest neighbours (Å) after each atom.
Fractional positions:
Br 0.3333 0.6667 0.3076  3 Hf 2.88
Hf 0.6667 0.3333 0.1252  3 P 2.53
Hf 0.3333 0.6667 0.8832  3 P 2.53
I 0.6667 0.3333 0.6794  3 Hf 3.02
P 0.0000 0.0000 0.0046  6 Hf 2.53

## Properties
raw total energy: -6.83 eV per atom


# 8
The following is a GGA-PBE calculation of crystalline Pr2Zn at its relaxed geometry, from OQMD.

Lattice parameters (Å, degrees): 9.0098 9.0098 9.0098 60.00 60.00 60.00
With the nearest neighbours (Å) after each atom.
Fractional positions:
Pr 0.6250 0.6250 0.1250  2 Zn 2.76
Pr 0.6250 0.1250 0.6250  2 Zn 2.76
Pr 0.1250 0.6250 0.6250  2 Zn 2.76
Pr 0.6250 0.6250 0.6250  2 Zn 2.76
Zn 0.5000 0.5000 0.5000  4 Pr 2.76
Zn 0.7500 0.7500 0.7500  4 Pr 2.76

## Properties
raw total energy: -2.22 eV per atom


# 9
The following is a GGA-PBE calculation of crystalline Ta2NbBi at its relaxed geometry, from OQMD.

Lattice parameters (Å, degrees): 4.8137 4.8137 4.8137 60.00 60.00 60.00
With the nearest neighbours (Å) after each atom.
Fractional positions:
Bi 0.5000 0.5000 0.5000  4 Nb 2.95, 4 Ta 2.95
Nb 0.2500 0.2500 0.2500  4 Bi 2.95, 4 Ta 2.95
Ta 0.0000 0.0000 0.0000  4 Nb 2.95, 4 Ta 2.95
Ta 0.7500 0.7500 0.7500  4 Bi 2.95, 4 Ta 2.95

## Properties
raw total energy: -9.03 eV per atom


# 10
The following is a GGA-PBE calculation of crystalline LaCuPbSe3 at its relaxed geometry, from OQMD.

Lattice parameters (Å, degrees): 8.0954 4.1755 9.9649 90.00 102.41 90.00
With the nearest neighbours (Å) after each atom.
Fractional positions:
Cu 0.0709 0.2500 0.0827  4 Se 2.50-2.58, 2 Cu 2.75
Cu 0.9291 0.7500 0.9173  4 Se 2.50-2.58, 2 Cu 2.75
La 0.2953 0.7500 0.3424  6 Se 2.97-3.05
La 0.7047 0.2500 0.6576  6 Se 2.97-3.05
Pb 0.7576 0.7500 0.1973  6 Se 3.11-3.18, 1 Cu 3.37
Pb 0.2424 0.2500 0.8027  6 Se 3.11-3.18, 1 Cu 3.37
Se 0.2394 0.7500 0.0379  3 Cu 2.54-2.58
Se 0.0311 0.2500 0.3245  1 Cu 2.50
Se 0.5642 0.2500 0.3482  3 La 3.01-3.05, 2 Pb 3.18
Se 0.4358 0.7500 0.6518  3 La 3.01-3.05, 2 Pb 3.18
Se 0.9689 0.7500 0.6755  1 Cu 2.50
Se 0.7606 0.2500 0.9621  3 Cu 2.54-2.58

## Properties
raw total energy: -4.83 eV per atom


# 11
The following is a GGA-PBE calculation of crystalline LiUCuS3 at its relaxed geometry, from OQMD.

Lattice parameters (Å, degrees): 6.3556 6.3556 10.2715 90.00 90.00 145.05
With the nearest neighbours (Å) after each atom.
Fractional positions:
Cu 0.4735 0.5265 0.2500  4 S 2.28-2.35
Cu 0.5265 0.4735 0.7500  4 S 2.28-2.35
Li 0.7548 0.2452 0.2500  6 S 2.80-2.90
Li 0.2452 0.7548 0.7500  6 S 2.80-2.90
S 0.3575 0.6425 0.0754  1 Cu 2.28
S 0.0859 0.9141 0.2500  2 Cu 2.35
S 0.3575 0.6425 0.4246  1 Cu 2.28
S 0.6425 0.3575 0.5754  1 Cu 2.28
S 0.9141 0.0859 0.7500  2 Cu 2.35
S 0.6425 0.3575 0.9246  1 Cu 2.28
U 0.0000 0.0000 0.0000  6 S 2.69-2.77
U 0.0000 0.0000 0.5000  6 S 2.69-2.77

## Properties
raw total energy: -5.97 eV per atom


# 12
The following is a GGA-PBE calculation of crystalline Hf4Si3W2C3 at its relaxed geometry, from OQMD.

Lattice parameters (Å, degrees): 5.5470 5.5470 13.3683 102.05 102.05 60.18
With the nearest neighbours (Å) after each atom.
Fractional positions:
C 0.6670 0.1663 0.0000  2 W 2.17, 4 Hf 2.26-2.27
C 0.0000 0.5000 0.0000  2 W 2.12, 4 Hf 2.28
C 0.3330 0.8337 0.0000  2 W 2.17, 4 Hf 2.26-2.27
C 0.1663 0.6670 0.5000  2 W 2.17, 4 Hf 2.26-2.27
C 0.5000 0.0000 0.5000  2 W 2.12, 4 Hf 2.28
C 0.8337 0.3330 0.5000  2 W 2.17, 4 Hf 2.26-2.27
Hf 0.7003 0.8702 0.1015  3 C 2.26-2.28
Hf 0.0367 0.1977 0.1016  3 C 2.26-2.28
Hf 0.8023 0.9633 0.3984  3 C 2.26-2.28
Hf 0.1298 0.2997 0.3985  3 C 2.26-2.28
Hf 0.8702 0.7003 0.6015  3 C 2.26-2.28
Hf 0.1977 0.0367 0.6016  3 C 2.26-2.28
Hf 0.9633 0.8023 0.8984  3 C 2.26-2.28
Hf 0.2997 0.1298 0.8985  3 C 2.26-2.28
Si 0.4160 0.3096 0.2499  2 W 2.62-2.64, 2 Si 2.63, 4 Hf 2.79-2.82
Si 0.1429 0.8571 0.2500  2 W 2.62, 2 Si 2.63, 4 Hf 2.80
Si 0.6904 0.5840 0.2501  2 W 2.62-2.64, 2 Si 2.63, 4 Hf 2.79-2.82
Si 0.3096 0.4160 0.7499  2 W 2.62-2.64, 2 Si 2.63, 4 Hf 2.79-2.82
Si 0.8571 0.1429 0.7500  2 W 2.62, 2 Si 2.63, 4 Hf 2.80
Si 0.5840 0.6904 0.7501  2 W 2.62-2.64, 2 Si 2.63, 4 Hf 2.79-2.82
W 0.3560 0.5284 0.0851  3 C 2.12-2.17
W 0.4716 0.6440 0.4149  3 C 2.12-2.17
W 0.5284 0.3560 0.5851  3 C 2.12-2.17
W 0.6440 0.4716 0.9149  3 C 2.12-2.17

## Properties
raw total energy: -9.73 eV per atom